DFT (GGA+U) results for a relaxed structure of V2CdGaO8.

## Properties
The value obtained for the total energy is -6.259 eV/atom.

Cell: 5.7948 5.7948 5.7948 Å, 108.17 108.17 112.10°
With the nearest neighbours (Å) after each atom.
Element x y z (fractional)
V: 0.0000 0.0000 0.0000  4 O 1.76
V: 0.7500 0.2500 0.5000  4 O 1.73
Cd: 0.5000 0.5000 0.0000  4 O 2.16
Ga: 0.2500 0.7500 0.5000  4 O 2.04
O: 0.0567 0.8438 0.2128  1 V 1.76
O: 0.1171 0.4264 0.6906  1 V 1.73
O: 0.1562 0.3690 0.2128  1 V 1.76
O: 0.1562 0.9433 0.7872  1 V 1.76
O: 0.5736 0.2642 0.6906  1 V 1.73
O: 0.5736 0.8829 0.3094  1 V 1.73
O: 0.6310 0.8438 0.7872  1 V 1.76
O: 0.7358 0.4264 0.3094  1 V 1.73



DFT (GGA+U) results for a relaxed structure of CdGaWO5.

## Properties
The value obtained for the total energy is -6.246 eV/atom.

Cell: 5.8349 5.8349 7.6598 Å, 108.00 108.00 99.97°
With the nearest neighbours (Å) after each atom.
Element x y z (fractional)
Cd: 0.1839 0.8161 0.7500  5 O 2.22-2.43
Cd: 0.8161 0.1839 0.2500  5 O 2.22-2.43
Ga: 0.1682 0.8318 0.2500  4 O 1.84-1.88
Ga: 0.8318 0.1682 0.7500  4 O 1.84-1.88
W: 0.5000 0.5000 0.0000  6 O 1.96-2.04
W: 0.5000 0.5000 0.5000  6 O 1.96-2.04
O: 0.1823 0.2250 0.8679  1 Ga 1.88, 1 W 1.96
O: 0.2250 0.1823 0.3679  1 Ga 1.88, 1 W 1.96
O: 0.2441 0.6912 0.4380  1 Ga 1.84, 1 W 2.04
O: 0.3088 0.7559 0.0620  1 Ga 1.84, 1 W 2.04
O: 0.4319 0.5681 0.7500  2 W 2.01, 1 Cd 2.22
O: 0.5681 0.4319 0.2500  2 W 2.01, 1 Cd 2.22
O: 0.6912 0.2441 0.9380  1 Ga 1.84, 1 W 2.04
O: 0.7559 0.3088 0.5620  1 Ga 1.84, 1 W 2.04
O: 0.7750 0.8177 0.6321  1 Ga 1.88, 1 W 1.96
O: 0.8177 0.7750 0.1321  1 Ga 1.88, 1 W 1.96



DFT (GGA+U) results for a relaxed structure of CdGaWO6.

## Properties
The value obtained for the total energy is -6.048 eV/atom.

Cell: 4.8348 4.8348 9.4793 Å, 90.00 90.00 90.00°
With the nearest neighbours (Å) after each atom.
Element x y z (fractional)
Cd: 0.0000 0.0000 0.0000  6 O 2.22-2.37
Cd: 0.5000 0.5000 0.5000  6 O 2.22-2.37
Ga: 0.0000 0.0000 0.3303  6 O 1.99-2.01
Ga: 0.5000 0.5000 0.8303  6 O 1.99-2.01
W: 0.0000 0.0000 0.6663  6 O 1.93-1.97
W: 0.5000 0.5000 0.1663  6 O 1.93-1.97
O: 0.1747 0.1747 0.5012  1 W 1.97, 1 Ga 2.01
O: 0.2112 0.2112 0.8013  1 W 1.93, 1 Ga 1.99
O: 0.2146 0.2146 0.1850  1 W 1.96, 1 Ga 2.01
O: 0.2854 0.7146 0.6850  1 W 1.96, 1 Ga 2.01
O: 0.2888 0.7112 0.3013  1 W 1.93, 1 Ga 1.99
O: 0.3253 0.6747 0.0012  1 W 1.97, 1 Ga 2.01
O: 0.6747 0.3253 0.0012  1 W 1.97, 1 Ga 2.01
O: 0.7112 0.2888 0.3013  1 W 1.93, 1 Ga 1.99
O: 0.7146 0.2854 0.6850  1 W 1.96, 1 Ga 2.01
O: 0.7854 0.7854 0.1850  1 W 1.96, 1 Ga 2.01
O: 0.7888 0.7888 0.8013  1 W 1.93, 1 Ga 1.99
O: 0.8253 0.8253 0.5012  1 W 1.97, 1 Ga 2.01



> Number 1 is which compound?

V2CdGaO8



> Look up the total energy of the third one.

-6.048 eV/atom